First-principles (GGA-PBE) data for an optimized crystal structure of AcNdGd, as listed in the Alexandria database.

Lattice parameters (Å, degrees): 3.7816 3.7816 9.0754 90.00 90.00 120.00
Space group P3m1 (No. 156)
One atom of each set of equivalent atoms:
Ac1 0.0000 0.0000 0.0000 [1 per cell]
Nd1 0.6667 0.3333 0.3445 [1 per cell]
Gd1 0.3333 0.6667 0.6628 [1 per cell]

Output
- M_tot (μB per formula unit) = 7.57
- offset from the most stable computed form (meV per atom) = 11
- E (eV/atom) = -7.61
- energy of formation from the pure elements (eV/atom) = 0.041
- theoretical density (g cm⁻³) = 7.81
- crystal system = trigonal



First-principles (GGA-PBE) data for an optimized crystal structure of AcNd2Gd, as listed in the Alexandria database.

Lattice parameters (Å, degrees): 3.6554 3.6554 38.9344 90.00 90.00 120.00
Space group R-3m (No. 166, hexagonal axes)
One atom of each set of equivalent atoms:
Ac1 0.0000 0.0000 0.0000 [3 per cell]
Nd1 0.0000 0.0000 0.0920 [6 per cell]
Gd1 0.0000 0.0000 0.5000 [3 per cell]

Output
- M_tot (μB per formula unit) = 7.13
- offset from the most stable computed form (meV per atom) = 139
- E (eV/atom) = -6.77
- energy of formation from the pure elements (eV/atom) = 0.164
- theoretical density (g cm⁻³) = 7.44
- crystal system = trigonal



First-principles (GGA-PBE) data for an optimized crystal structure of AcNd2Gd, as listed in the Alexandria database.

Lattice parameters (Å, degrees): 5.270 5.270 5.292 90.00 90.00 90.00
Space group P4/mmm (No. 123)
One atom of each set of equivalent atoms:
Ac1 0.000 0.000 0.000 [1 per cell]
Nd1 0.000 0.500 0.500 [2 per cell]
Gd1 0.500 0.500 0.000 [1 per cell]

Output
- M_tot (μB per formula unit) = 7.47
- offset from the most stable computed form (meV per atom) = 0
- E (eV/atom) = -6.91
- energy of formation from the pure elements (eV/atom) = 0.024
- theoretical density (g cm⁻³) = 7.60
- crystal system = tetragonal



First-principles (GGA-PBE) data for an optimized crystal structure of AcNd2Gd, as listed in the Alexandria database.

Lattice parameters (Å, degrees): 3.771 3.771 10.384 90.00 90.00 90.00
Space group P4/mmm (No. 123)
One atom of each set of equivalent atoms:
Ac1 0.000 0.000 0.000 [1 per cell]
Nd1 0.500 0.500 0.263 [2 per cell]
Gd1 0.000 0.000 0.500 [1 per cell]

Output
- M_tot (μB per formula unit) = 7.41
- offset from the most stable computed form (meV per atom) = 11
- E (eV/atom) = -6.90
- energy of formation from the pure elements (eV/atom) = 0.035
- theoretical density (g cm⁻³) = 7.56
- crystal system = tetragonal



First-principles (GGA-PBE) data for an optimized crystal structure of AcNdGd, as listed in the Alexandria database.

Lattice parameters (Å, degrees): 3.792 3.792 15.572 90.00 90.00 90.00
Space group I4mm (No. 107)
One atom of each set of equivalent atoms:
Ac1 0.000 0.000 0.000 [2 per cell]
Nd1 0.000 0.000 0.672 [2 per cell]
Gd1 0.000 0.000 0.328 [2 per cell]

Output
- M_tot (μB per formula unit) = 7.57
- offset from the most stable computed form (meV per atom) = 0
- E (eV/atom) = -7.62
- energy of formation from the pure elements (eV/atom) = 0.030
- theoretical density (g cm⁻³) = 7.84
- crystal system = tetragonal



First-principles (GGA-PBE) data for an optimized crystal structure of AcNdGd2, as listed in the Alexandria database.

Lattice parameters (Å, degrees): 5.254 5.254 5.220 90.00 90.00 90.00
Space group P4/mmm (No. 123)
One atom of each set of equivalent atoms:
Ac1 0.000 0.000 0.000 [1 per cell]
Nd1 0.500 0.500 0.000 [1 per cell]
Gd1 0.000 0.500 0.500 [2 per cell]

Output
- M_tot (μB per formula unit) = 14.85
- offset from the most stable computed form (meV per atom) = 0
- E (eV/atom) = -9.23
- energy of formation from the pure elements (eV/atom) = 0.032
- theoretical density (g cm⁻³) = 7.90
- crystal system = tetragonal



First-principles (GGA-PBE) data for an optimized crystal structure of AcNdGd2, as listed in the Alexandria database.

Lattice parameters (Å, degrees): 3.6365 3.6365 38.5457 90.00 90.00 120.00
Space group R-3m (No. 166, hexagonal axes)
One atom of each set of equivalent atoms:
Ac1 0.0000 0.0000 0.0000 [3 per cell]
Nd1 0.0000 0.0000 0.5000 [3 per cell]
Gd1 0.0000 0.0000 0.0918 [6 per cell]

Output
- M_tot (μB per formula unit) = 15.10
- offset from the most stable computed form (meV per atom) = 137
- E (eV/atom) = -9.09
- energy of formation from the pure elements (eV/atom) = 0.169
- theoretical density (g cm⁻³) = 7.74
- crystal system = trigonal



First-principles (GGA-PBE) data for an optimized crystal structure of AcNdGd2, as listed in the Alexandria database.

Lattice parameters (Å, degrees): 8.345 8.345 8.345 90.00 90.00 90.00
Space group Fm-3m (No. 225)
One atom of each set of equivalent atoms:
Ac1 0.000 0.000 0.000 [4 per cell]
Nd1 0.000 0.000 0.500 [4 per cell]
Gd1 0.250 0.250 0.250 [8 per cell]

Output
- M_tot (μB per formula unit) = 15.74
- offset from the most stable computed form (meV per atom) = 71
- E (eV/atom) = -9.16
- energy of formation from the pure elements (eV/atom) = 0.103
- theoretical density (g cm⁻³) = 7.84
- crystal system = cubic



First-principles (GGA-PBE) data for an optimized crystal structure of AcNd2Gd, as listed in the Alexandria database.

Lattice parameters (Å, degrees): 8.400 8.400 8.400 90.00 90.00 90.00
Space group Fm-3m (No. 225)
One atom of each set of equivalent atoms:
Ac1 0.000 0.000 0.000 [4 per cell]
Nd1 0.250 0.250 0.250 [8 per cell]
Gd1 0.000 0.000 0.500 [4 per cell]

Output
- M_tot (μB per formula unit) = 8.91
- offset from the most stable computed form (meV per atom) = 99
- E (eV/atom) = -6.81
- energy of formation from the pure elements (eV/atom) = 0.123
- theoretical density (g cm⁻³) = 7.54
- crystal system = cubic



First-principles (GGA-PBE) data for an optimized crystal structure of AcNdGd2, as listed in the Alexandria database.

Lattice parameters (Å, degrees): 3.737 3.737 10.345 90.00 90.00 90.00
Space group P4/mmm (No. 123)
One atom of each set of equivalent atoms:
Ac1 0.000 0.000 0.000 [1 per cell]
Nd1 0.000 0.000 0.500 [1 per cell]
Gd1 0.500 0.500 0.261 [2 per cell]

Output
- M_tot (μB per formula unit) = 14.82
- offset from the most stable computed form (meV per atom) = 3
- E (eV/atom) = -9.22
- energy of formation from the pure elements (eV/atom) = 0.035
- theoretical density (g cm⁻³) = 7.88
- crystal system = tetragonal



First-principles (GGA-PBE) data for an optimized crystal structure of AcPmNdGd, as listed in the Alexandria database.

Lattice parameters (Å, degrees): 8.376 8.376 8.376 90.00 90.00 90.00
Space group F-43m (No. 216)
One atom of each set of equivalent atoms:
Ac1 0.000 0.000 0.000 [4 per cell]
Pm1 0.250 0.250 0.250 [4 per cell]
Nd1 0.000 0.000 0.500 [4 per cell]
Gd1 0.250 0.250 0.750 [4 per cell]

Output
- M_tot (μB per formula unit) = 8.09
- E (eV/atom) = -6.81
- energy of formation from the pure elements (eV/atom) = 0.121
- theoretical density (g cm⁻³) = 7.61
- crystal system = cubic



First-principles (GGA-PBE) data for an optimized crystal structure of SrAcNdGd, as listed in the Alexandria database.

Lattice parameters (Å, degrees): 8.648 8.648 8.648 90.00 90.00 90.00
Space group F-43m (No. 216)
One atom of each set of equivalent atoms:
Sr1 0.000 0.000 0.000 [4 per cell]
Ac1 0.250 0.250 0.750 [4 per cell]
Nd1 0.250 0.250 0.250 [4 per cell]
Gd1 0.000 0.000 0.500 [4 per cell]

Output
- M_tot (μB per formula unit) = 8.27
- E (eV/atom) = -5.98
- energy of formation from the pure elements (eV/atom) = 0.179
- theoretical density (g cm⁻³) = 6.33
- crystal system = cubic